# SmPaMoO6 (PBE+U, relaxed)
# V (Å³/cell): 129.7
# Calculated total energy (eV per atom): -8.52
data_SmPaMoO6
_chemical_formula_sum 'Sm1 Pa1 Mo1 O6'
_space_group_name_H-M_alt 'P 3 1 2'
_space_group_IT_number 149
_space_group_name_Hall 'P 3 2'
_cell_length_a 5.5594
_cell_length_b 5.5594
_cell_length_c 4.8470
_cell_angle_alpha 90.00
_cell_angle_beta 90.00
_cell_angle_gamma 120.00
loop_
_atom_site_label
_atom_site_type_symbol
_atom_site_fract_x
_atom_site_fract_y
_atom_site_fract_z
Sm1 Sm 0.0000 0.0000 0.0000
Pa1 Pa 0.6667 0.3333 0.5000
Mo1 Mo 0.3333 0.6667 0.0000
O1 O 0.0106 0.3669 0.2413